TlOsCl2 (PBEsol, optimized geometry); energy relative to the elements, uncorrected = 0.72 eV per formula unit; relative energy among the computed polymorphs = 57 meV per atom
1.0
-1.528 2.103 1.658
0.610 -2.904 4.245
5.049 2.904 -1.898
Os Cl Tl
1 2 1
direct
0.000 0.500 0.000
0.671 0.671 0.343
0.329 0.329 0.657
0.500 0.000 0.000